Below is an optimized crystal structure of EuErTlCd, with properties calculated at the PBE level.

Final energy ... -19.48 eV per cell
Space group ... No. 216
E_form ... -0.34 eV per atom

Cell: 5.434 5.434 5.434 Å, 60.00 60.00 60.00°
Last column: magnetic moment on the atom in μB.
Fractional positions:
Eu1 0.000 0.000 0.000  6.85
Tl1 0.250 0.250 0.250  -0.01
Cd1 0.750 0.750 0.750  0.01
Er1 0.500 0.500 0.500  0.06



Below is an optimized crystal structure of EuErTmCd, with properties calculated at the PBE level.

Final energy ... -20.22 eV per cell
Space group ... No. 216
E_form ... 0.00 eV per atom

Cell: 5.506 5.506 5.506 Å, 60.00 60.00 60.00°
Last column: magnetic moment on the atom in μB.
Fractional positions:
Eu1 0.500 0.500 0.500  6.81
Cd1 0.750 0.750 0.750  -0.01
Tm1 0.250 0.250 0.250  0.05
Er1 0.000 0.000 0.000  -0.01



Below is an optimized crystal structure of Er2CdF, with properties calculated at the PBE level.

Final energy ... -15.30 eV per cell
Space group ... No. 166
Raw formation energy ... -0.8471 eV per atom

Cell: 3.325 3.325 10.087 Å, 80.51 80.51 60.00°
Fractional positions:
F1 0.500 0.500 0.500
Cd1 0.000 0.000 0.000
Er1 0.106 0.106 0.682
Er2 0.894 0.894 0.318



Below is an optimized crystal structure of ErCdF6, with properties calculated at the PBE level.

Final energy ... -38.65 eV per cell
Space group ... No. 38
Raw formation energy ... -2.7434 eV per atom

Cell: 3.425 6.197 6.197 Å, 111.88 90.00 90.00°
Last column: magnetic moment on the atom in μB.
Fractional positions:
Er1 0.000 0.985 0.015  -0.02
Cd1 0.500 0.510 0.490  0.05
F1 0.000 0.606 0.776  0.11
F2 0.000 0.224 0.394  0.11
F3 0.000 0.648 0.352  0.30
F4 0.500 0.918 0.745  0.14
F5 0.500 0.255 0.082  0.14
F6 0.500 0.853 0.147  0.11



Below is an optimized crystal structure of ErCd2F6, with properties calculated at the PBE level.

Final energy ... -84.96 eV per cell
Space group ... No. 14
Raw formation energy ... -2.7622 eV per atom

Cell: 6.125 5.627 9.599 Å, 90.00 94.09 90.00°
Fractional positions:
Er1 0.500 0.500 0.000
Er2 0.000 0.000 0.500
Cd1 0.984 0.472 0.803
Cd2 0.516 0.972 0.697
Cd3 0.484 0.028 0.303
Cd4 0.016 0.528 0.197
F1 0.834 0.808 0.326
F2 0.854 0.767 0.651
F3 0.812 0.680 0.991
F4 0.688 0.180 0.509
F5 0.646 0.267 0.849
F6 0.666 0.308 0.174
F7 0.166 0.192 0.674
F8 0.146 0.233 0.349
F9 0.188 0.320 0.009
F10 0.312 0.820 0.491
F11 0.354 0.733 0.151
F12 0.334 0.692 0.826



Below is an optimized crystal structure of Er2CdF8, with properties calculated at the PBE level.

Final energy ... -64.51 eV per cell
Space group ... No. 12
Raw formation energy ... -3.5911 eV per atom

Cell: 3.610 5.463 7.603 Å, 108.28 103.73 90.00°
Fractional positions:
F1 0.599 0.455 0.198
F2 0.317 0.036 0.635
F3 0.218 0.330 0.435
F4 0.046 0.813 0.093
F5 0.782 0.670 0.565
F6 0.683 0.964 0.365
F7 0.401 0.545 0.802
F8 0.954 0.187 0.907
Cd1 0.500 0.000 0.000
Er1 0.179 0.689 0.358
Er2 0.821 0.311 0.642



Below is an optimized crystal structure of K2ErCdF6, with properties calculated at the PBE level.

Final energy ... -96.95 eV per cell
Space group ... No. 59
Raw formation energy ... -2.9574 eV per atom

Cell: 6.407 6.861 9.155 Å, 90.00 90.00 90.00°
Last column: magnetic moment on the atom in μB.
Fractional positions:
K1 0.500 0.798 0.218  0.00
K2 0.000 0.202 0.718  0.00
K3 0.500 0.798 0.782  0.00
K4 0.000 0.202 0.282  0.00
Er1 0.500 0.211 0.500  0.04
Er2 0.000 0.789 0.000  0.04
Cd1 0.000 0.713 0.500  0.28
Cd2 0.500 0.287 0.000  0.28
F1 0.500 0.189 0.265  0.02
F2 0.500 0.189 0.735  0.02
F3 0.000 0.811 0.235  0.02
F4 0.000 0.811 0.765  0.02
F5 0.265 0.982 0.500  0.02
F6 0.735 0.982 0.500  0.02
F7 0.241 0.409 0.500  0.03
F8 0.759 0.409 0.500  0.03
F9 0.741 0.591 0.000  0.03
F10 0.259 0.591 0.000  0.03
F11 0.235 0.018 0.000  0.02
F12 0.765 0.018 0.000  0.02



Below is an optimized crystal structure of KErCd2F8, with properties calculated at the PBE level.

Final energy ... -57.51 eV per cell
Space group ... No. 10
Raw formation energy ... -2.9205 eV per atom

Cell: 3.960 5.636 7.889 Å, 90.00 90.00 89.77°
Fractional positions:
K1 0.000 0.000 0.500
Er1 0.000 0.000 0.000
Cd1 0.500 0.500 0.739
Cd2 0.500 0.500 0.261
F1 0.001 0.742 0.215
F2 0.501 0.776 0.000
F3 0.999 0.258 0.215
F4 0.999 0.258 0.785
F5 0.499 0.224 0.000
F6 0.001 0.742 0.785
F7 0.502 0.725 0.500
F8 0.498 0.275 0.500



Below is an optimized crystal structure of KErCdF6, with properties calculated at the PBE level.

Final energy ... -92.36 eV per cell
Space group ... No. 74
Raw formation energy ... -3.1531 eV per atom

Cell: 8.276 7.919 8.215 Å, 118.82 120.25 90.00°
Fractional positions:
K1 0.798 0.548 0.595
K2 0.202 0.452 0.405
Er1 0.500 0.000 0.500
Er2 0.000 0.000 0.500
Cd1 0.500 0.500 0.000
Cd2 0.500 0.000 0.000
F1 0.419 0.669 0.837
F2 0.808 0.058 0.615
F3 0.828 0.084 0.266
F4 0.438 0.682 0.266
F5 0.438 0.084 0.266
F6 0.828 0.682 0.266
F7 0.581 0.331 0.163
F8 0.192 0.942 0.385
F9 0.172 0.916 0.734
F10 0.562 0.318 0.734
F11 0.562 0.916 0.734
F12 0.172 0.318 0.734



Below is an optimized crystal structure of RbErCdF6, with properties calculated at the PBE level.

Final energy ... -92.44 eV per cell
Space group ... No. 74
Raw formation energy ... -3.1716 eV per atom

Cell: 8.281 7.950 8.203 Å, 118.98 120.31 90.00°
Fractional positions:
Rb1 0.817 0.567 0.634
Rb2 0.183 0.433 0.366
Er1 0.500 0.000 0.500
Er2 0.000 0.000 0.500
Cd1 0.500 0.500 0.000
Cd2 0.500 0.000 0.000
F1 0.418 0.668 0.837
F2 0.807 0.057 0.614
F3 0.830 0.080 0.263
F4 0.433 0.682 0.263
F5 0.433 0.080 0.263
F6 0.830 0.682 0.263
F7 0.582 0.332 0.163
F8 0.193 0.943 0.386
F9 0.170 0.920 0.737
F10 0.567 0.318 0.737
F11 0.567 0.920 0.737
F12 0.170 0.318 0.737



Below is an optimized crystal structure of Rb2ErCd3F12, with properties calculated at the PBE level.

Final energy ... -78.79 eV per cell
Space group ... No. 166
Raw formation energy ... -2.6163 eV per atom

Cell: 8.191 8.191 8.191 Å, 58.07 58.07 58.07°
Fractional positions:
Rb1 0.603 0.603 0.603
Rb2 0.397 0.397 0.397
Er1 0.000 0.000 0.000
Cd1 0.500 0.000 0.000
Cd2 0.000 0.500 0.000
Cd3 0.000 0.000 0.500
F1 0.331 0.331 0.910
F2 0.929 0.929 0.319
F3 0.319 0.929 0.929
F4 0.910 0.331 0.331
F5 0.929 0.319 0.929
F6 0.331 0.910 0.331
F7 0.669 0.669 0.090
F8 0.071 0.071 0.681
F9 0.681 0.071 0.071
F10 0.090 0.669 0.669
F11 0.071 0.681 0.071
F12 0.669 0.090 0.669



Below is an optimized crystal structure of ErTl2Cd3F12, with properties calculated at the PBE level.

Final energy ... -77.15 eV per cell
Space group ... No. 166
Raw formation energy ... -2.3698 eV per atom

Cell: 8.225 8.225 8.225 Å, 56.31 56.31 56.31°
Fractional positions:
Er1 0.000 0.000 0.000
Tl1 0.581 0.581 0.581
Tl2 0.419 0.419 0.419
Cd1 0.500 0.000 0.000
Cd2 0.000 0.500 0.000
Cd3 0.000 0.000 0.500
F1 0.357 0.357 0.886
F2 0.936 0.936 0.317
F3 0.317 0.936 0.936
F4 0.886 0.357 0.357
F5 0.936 0.317 0.936
F6 0.357 0.886 0.357
F7 0.643 0.643 0.114
F8 0.064 0.064 0.683
F9 0.683 0.064 0.064
F10 0.114 0.643 0.643
F11 0.064 0.683 0.064
F12 0.643 0.114 0.643



Below is an optimized crystal structure of ErTl2CdF6, with properties calculated at the PBE level.

Final energy ... -94.50 eV per cell
Space group ... No. 59
Raw formation energy ... -2.5813 eV per atom

Cell: 6.490 6.464 9.174 Å, 90.00 90.00 90.00°
Fractional positions:
Er1 0.500 0.250 0.500
Er2 0.000 0.750 0.000
Tl1 0.500 0.750 0.250
Tl2 0.000 0.250 0.750
Tl3 0.500 0.750 0.750
Tl4 0.000 0.250 0.250
Cd1 0.000 0.750 0.500
Cd2 0.500 0.250 0.000
F1 0.500 0.249 0.264
F2 0.500 0.249 0.736
F3 0.000 0.751 0.236
F4 0.000 0.751 0.764
F5 0.264 0.012 0.500
F6 0.736 0.012 0.500
F7 0.264 0.486 0.500
F8 0.736 0.486 0.500
F9 0.764 0.514 0.000
F10 0.236 0.514 0.000
F11 0.236 0.988 0.000
F12 0.764 0.988 0.000



Below is an optimized crystal structure of Er2CdFe, with properties calculated at the PBE level.

Final energy ... -18.52 eV per cell
Space group ... No. 123
Distance to the lowest polymorph of the same formula ... 12.5 kJ per mole of atoms
E_form ... -0.01 eV per atom

Cell: 3.507 5.073 5.073 Å, 90.00 90.00 90.00°
Last column: magnetic moment on the atom in μB.
Fractional positions:
Cd1 0.500 0.000 0.000  -0.02
Fe1 0.500 0.500 0.500  2.31
Er1 0.000 0.000 0.500  -0.29
Er2 0.000 0.500 0.000  -0.29



Below is an optimized crystal structure of Er5Cd2Fe2, with properties calculated at the PBE level.

Final energy ... -85.56 eV per cell
Space group ... No. 64
E_form ... -0.13 eV per atom

Cell: 7.082 7.187 9.152 Å, 90.00 67.24 90.00°
Last column: magnetic moment on the atom in μB.
Fractional positions:
Er1 0.000 0.000 0.000  -0.18
Er2 0.500 0.500 0.000  -0.18
Er3 0.434 0.184 0.762  -0.13
Er4 0.804 0.816 0.762  -0.13
Er5 0.304 0.684 0.762  -0.13
Er6 0.934 0.316 0.762  -0.13
Er7 0.566 0.816 0.238  -0.13
Er8 0.196 0.184 0.238  -0.13
Er9 0.696 0.316 0.238  -0.13
Er10 0.066 0.684 0.238  -0.13
Cd1 0.228 0.000 0.544  0.00
Cd2 0.728 0.500 0.544  0.00
Cd3 0.772 0.000 0.456  0.00
Cd4 0.272 0.500 0.456  0.00
Fe1 0.105 0.391 0.000  0.96
Fe2 0.895 0.609 0.000  0.96
Fe3 0.395 0.891 0.000  0.96
Fe4 0.605 0.109 0.000  0.96



Below is an optimized crystal structure of Er4CdFe, with properties calculated at the PBE level.

Final energy ... -56.87 eV per cell
Space group ... No. 15
E_form ... -0.13 eV per atom

Cell: 5.992 8.987 7.584 Å, 116.02 99.46 112.92°
Fractional positions:
Er1 0.088 0.197 0.838
Er2 0.777 0.732 0.672
Er3 0.250 0.641 0.838
Er4 0.395 0.940 0.672
Er5 0.605 0.060 0.328
Er6 0.750 0.359 0.162
Er7 0.223 0.268 0.328
Er8 0.912 0.803 0.162
Cd1 0.376 0.626 0.252
Cd2 0.624 0.374 0.748
Fe1 0.249 0.999 0.997
Fe2 0.751 0.001 0.003



Below is an optimized crystal structure of Er6Cd2Fe, with properties calculated at the PBE level.

Final energy ... -38.73 eV per cell
Space group ... No. 38
E_form ... -0.12 eV per atom

Cell: 3.686 8.628 8.533 Å, 120.37 90.00 90.00°
Fractional positions:
Er1 0.500 0.602 0.000
Er2 0.500 0.388 0.391
Er3 0.500 0.997 0.609
Er4 0.000 0.240 0.000
Er5 0.000 0.766 0.771
Er6 0.000 0.996 0.229
Cd1 0.000 0.330 0.664
Cd2 0.000 0.666 0.336
Fe1 0.500 0.015 0.000



Below is an optimized crystal structure of Er3CdFe, with properties calculated at the PBE level.

Final energy ... -47.22 eV per cell
Space group ... No. 12
Distance to the lowest polymorph of the same formula ... 0.0 kJ per mole of atoms
E_form ... -0.11 eV per atom

Cell: 5.852 5.852 9.090 Å, 67.00 67.00 64.04°
Last column: magnetic moment on the atom in μB.
Fractional positions:
Er1 0.308 0.308 0.879  -0.22
Er2 0.692 0.692 0.121  -0.22
Er3 0.026 0.026 0.778  -0.09
Er4 0.974 0.974 0.222  -0.09
Er5 0.699 0.699 0.689  -0.11
Er6 0.301 0.301 0.311  -0.11
Cd1 0.722 0.278 0.500  0.01
Cd2 0.278 0.722 0.500  0.01
Fe1 0.315 0.685 0.000  1.34
Fe2 0.685 0.315 0.000  1.34



Below is an optimized crystal structure of Er2CdFe, with properties calculated at the PBE level.

Final energy ... -17.45 eV per cell
Space group ... No. 166
Distance to the lowest polymorph of the same formula ... 38.4 kJ per mole of atoms
E_form ... 0.26 eV per atom

Cell: 3.517 3.517 10.129 Å, 80.00 80.00 60.00°
Last column: magnetic moment on the atom in μB.
Fractional positions:
Cd1 0.000 0.000 0.000  -0.01
Fe1 0.500 0.500 0.500  1.19
Er1 0.109 0.109 0.673  -0.20
Er2 0.891 0.891 0.327  -0.20



Below is an optimized crystal structure of Er3CdFe, with properties calculated at the PBE level.

Final energy ... -23.03 eV per cell
Space group ... No. 221
Distance to the lowest polymorph of the same formula ... 11.3 kJ per mole of atoms
E_form ... 0.01 eV per atom

Cell: 5.113 5.113 5.113 Å, 90.00 90.00 90.00°
Fractional positions:
Cd1 0.500 0.500 0.500
Fe1 0.000 0.000 0.000
Er1 0.000 0.500 0.000
Er2 0.000 0.000 0.500
Er3 0.500 0.000 0.000